[1]
{
  "formula": "HgPb2Cl",
  "functional": "PBE",
  "state": "optimized geometry",
  "crystal_system": "orthorhombic",
  "raw_formation_energy_ev_per_atom": -0.29,
  "de_polymorph_mev_per_atom": 4,
  "lattice": [[-2.628, -2.500, 0.353], [1.629, -0.936, 5.487], [-3.704, 4.149, 1.807]],
  "species": ["Cl", "Pb", "Pb", "Hg"],
  "frac_coords": [[0.000, 0.000, 0.612], [0.500, 0.500, 0.130], [0.000, 0.000, 0.127], [0.500, 0.500, 0.631]]
}

***

[2]
{
  "formula": "Sm5ErIn3",
  "functional": "PBE",
  "state": "optimized geometry",
  "crystal_system": "hexagonal",
  "e_form_ev_per_atom": -0.347,
  "lattice": [[-4.277, 4.568, 2.736], [-6.572, -2.293, -6.446], [0.347, -4.630, 8.273]],
  "species": ["Sm", "Sm", "Sm", "Sm", "Sm", "Sm", "Sm", "Sm", "Sm", "Sm", "In", "In", "In", "In", "In", "In", "Er", "Er"],
  "frac_coords": [[0.250, 0.000, 0.664], [0.750, 0.336, 0.000], [0.500, 0.667, 0.333], [0.750, 0.000, 0.336], [0.250, 0.664, 0.000], [0.000, 0.333, 0.667], [0.500, 0.333, 0.667], [0.000, 0.667, 0.333], [0.750, 0.664, 0.664], [0.250, 0.336, 0.336], [0.750, 0.673, 0.000], [0.750, 0.000, 0.673], [0.750, 0.327, 0.327], [0.250, 0.000, 0.327], [0.250, 0.327, 0.000], [0.250, 0.673, 0.673], [0.500, 0.000, 0.000], [0.000, 0.000, 0.000]]
}

***

[3]
{
  "formula": "Ba2PRu",
  "functional": "PBE",
  "state": "optimized geometry",
  "crystal_system": "orthorhombic",
  "e_form_ev_per_atom": -0.412,
  "lattice": [[-1.432, 1.012, -5.996], [-2.955, 1.172, 5.378], [1.854, 3.777, 0.195]],
  "species": ["P", "Ba", "Ba", "Ru"],
  "frac_coords": [[0.328, 0.672, 0.000], [0.022, 0.978, 0.000], [0.734, 0.266, 0.500], [0.415, 0.585, 0.500]]
}

***

[4]
{
  "formula": "Li4CeCd",
  "functional": "PBE",
  "state": "optimized geometry",
  "crystal_system": "cubic",
  "e_form_ev_per_atom": 0.004,
  "lattice": [[5.570, 0.000, 0.000], [2.785, 4.823, 0.000], [2.785, 1.608, 4.547]],
  "species": ["Li", "Li", "Li", "Li", "Ce", "Cd"],
  "frac_coords": [[0.118, 0.627, 0.627], [0.627, 0.627, 0.118], [0.627, 0.627, 0.627], [0.627, 0.118, 0.627], [0.250, 0.250, 0.250], [0.000, 0.000, 0.000]]
}

***

no.,E (eV/atom)
1,-2.679
2,-4.389
3,-5.045
4,-2.413